[1]
First-principles (PBE-GGA) data for a relaxed Mg4Ru3 crystal, as listed in Alexandria via LeMat-Bulk.

Summary:
Energy: -4.86 eV/atom
Formation enthalpy at 0 K: 27 meV/atom
DOS at the Fermi energy: 0.91 states/eV per atom

extended XYZ file:
```
7
Lattice="-8.273 -1.904 9.752 -8.960 2.288 9.036 7.067 -0.687 -10.805" Properties=species:S:1:pos:R:3 pbc="T T T"
Mg -14.594 0.325 15.911
Ru -12.417 0.276 13.537
Ru -4.816 0.107 5.251
Mg -2.638 0.059 2.876
Mg -7.549 0.168 8.230
Ru 0.000 0.000 0.000
Mg -9.684 0.215 10.557
```

---

[2]
First-principles (PBE-GGA) data for a relaxed MgRu crystal, as listed in Alexandria via LeMat-Bulk.

Summary:
Energy: -5.33 eV/atom
Formation enthalpy at 0 K: 110 meV/atom
DOS at the Fermi energy: 0.67 states/eV per atom

extended XYZ file:
```
4
Lattice="-2.056 -0.408 -1.945 2.133 -1.889 0.244 -4.947 -4.779 6.231" Properties=species:S:1:pos:R:3 pbc="T T T"
Mg -3.092 -5.094 4.337
Ru -0.415 -2.508 0.965
Ru -0.085 -0.082 0.107
Mg -2.355 -2.275 2.967
```

---

[3]
First-principles (PBE-GGA) data for a relaxed Mg2Ru3 crystal, as listed in Alexandria via LeMat-Bulk.

Summary:
Energy: -6.06 eV/atom
Formation enthalpy at 0 K: 147 meV/atom
DOS at the Fermi energy: 1.62 states/eV per atom

extended XYZ file:
```
5
Lattice="11.161 -1.409 -0.010 11.161 1.409 -0.010 10.985 0.000 2.425" Properties=species:S:1:pos:R:3 pbc="T T T"
Mg 13.350 0.000 0.964
Mg 19.956 0.000 1.441
Ru 26.760 0.000 1.932
Ru 0.000 0.000 0.000
Ru 6.546 0.000 0.473
```

---

[4]
First-principles (PBE-GGA) data for a relaxed Mg4Ru3 crystal, as listed in Alexandria via LeMat-Bulk.

Summary:
Energy: -4.79 eV/atom
Formation enthalpy at 0 K: 97 meV/atom
DOS at the Fermi energy: 0.98 states/eV per atom

extended XYZ file:
```
7
Lattice="2.584 -4.475 0.000 2.584 4.475 0.000 0.000 0.000 5.234" Properties=species:S:1:pos:R:3 pbc="T T T"
Mg 2.584 1.492 2.617
Mg 2.584 -1.492 2.617
Ru 2.584 0.000 0.000
Ru 1.292 -2.237 0.000
Mg 0.000 0.000 1.274
Ru 1.292 2.237 0.000
Mg 0.000 0.000 3.960
```

---

[5]
First-principles (PBE-GGA) data for a relaxed MgRu3 crystal, as listed in Alexandria via LeMat-Bulk.

Summary:
Energy: -7.10 eV/atom
Formation enthalpy at 0 K: 256 meV/atom
DOS at the Fermi energy: 1.26 states/eV per atom

extended XYZ file:
```
4
Lattice="4.446 0.000 0.000 0.000 4.446 0.000 0.000 0.000 2.932" Properties=species:S:1:pos:R:3 pbc="T T T"
Ru 2.223 2.223 0.000
Ru 0.000 0.000 0.000
Ru 2.223 0.000 1.466
Mg 0.000 2.223 1.466
```

---

[6]
First-principles (PBE-GGA) data for a relaxed Mg5Ru3 crystal, as listed in Alexandria via LeMat-Bulk.

Summary:
Energy: -4.37 eV/atom
Formation enthalpy at 0 K: 102 meV/atom
DOS at the Fermi energy: 0.70 states/eV per atom

extended XYZ file:
```
8
Lattice="1.054 5.362 1.189 -3.318 0.871 -4.417 -3.366 0.097 2.548" Properties=species:S:1:pos:R:3 pbc="T T T"
Ru -1.639 4.373 1.168
Mg 0.000 0.000 0.000
Mg -3.316 4.545 -1.054
Mg -2.314 1.785 0.375
Mg 0.527 2.681 0.595
Ru -1.132 3.117 -1.614
Mg -1.659 0.436 -2.208
Ru -3.991 1.957 -1.848
```

---

[7]
First-principles (PBE-GGA) data for a relaxed MgRu crystal, as listed in Alexandria via LeMat-Bulk.

Summary:
Energy: -5.37 eV/atom
Formation enthalpy at 0 K: 63 meV/atom
DOS at the Fermi energy: 1.04 states/eV per atom

extended XYZ file:
```
4
Lattice="-3.859 -3.651 1.169 1.340 -5.196 0.897 0.477 5.224 1.440" Properties=species:S:1:pos:R:3 pbc="T T T"
Ru -1.082 -5.388 1.844
Mg -2.144 -2.389 2.633
Mg 0.101 -1.234 0.874
Ru -0.961 1.765 1.662
```

---

[8]
First-principles (PBE-GGA) data for a relaxed MgRu3 crystal, as listed in Alexandria via LeMat-Bulk.

Summary:
Energy: -7.18 eV/atom
Formation enthalpy at 0 K: 173 meV/atom
DOS at the Fermi energy: 1.18 states/eV per atom

extended XYZ file:
```
4
Lattice="-0.075 2.745 -0.204 -0.799 0.259 3.785 5.345 0.229 1.113" Properties=species:S:1:pos:R:3 pbc="T T T"
Mg 0.899 1.559 2.069
Ru 3.571 1.674 2.625
Ru 5.291 0.227 1.102
Ru 2.726 0.117 0.568
```